Run i
The following is a GGA-PBE calculation of crystalline NdSm7Tm4 at its relaxed geometry, from Alexandria.

The space group is C2/m (No. 12) and the conventional cell measures 16.023, 5.946 and 9.417 Å, with angles of 90.00, 117.00 and 90.00 degrees. The asymmetric unit holds Nd at (0.000, 0.000, 0.000), Sm at (0.000, 0.500, 0.000), Sm at (0.087, 0.000, 0.454), Sm at (0.215, 0.000, 0.244), Sm at (0.216, 0.000, 0.886), Tm at (0.070, 0.500, 0.699) and Tm at (0.169, 0.500, 0.379).



Run ii
The following is a GGA-PBE calculation of crystalline NdSm7Tm4 at its relaxed geometry, from Alexandria.

The space group is P-1 (No. 2) and the conventional cell measures 6.261, 7.226 and 8.906 Å, with angles of 90.01, 103.55 and 90.01 degrees. The asymmetric unit holds Nd at (0.000, 0.000, 0.000), Sm at (0.000, 0.500, 0.000), Sm at (0.223, 0.000, 0.665), Sm at (0.280, 0.748, 0.336), Sm at (0.499, 0.254, 0.002), Tm at (0.219, 0.500, 0.664) and Tm at (0.278, 0.254, 0.335).



Stability summary - winner: run ii; margin: 20.5 kJ/mol of atoms.



Run i
The following is a GGA-PBE calculation of crystalline Nd3SmTm2 at its relaxed geometry, from Alexandria.

The space group is Cmcm (No. 63) and the conventional cell measures 14.953, 10.118 and 5.619 Å, with angles of 90.00, 90.00 and 90.00 degrees. The asymmetric unit holds Nd at (0.000, 0.091, 0.250), Nd at (0.239, 0.131, 0.250), Sm at (0.000, 0.267, 0.750) and Tm at (0.106, 0.405, 0.250).



Run ii
The following is a GGA-PBE calculation of crystalline Nd3SmTm2 at its relaxed geometry, from Alexandria.

The space group is C2/c (No. 15) and the conventional cell measures 17.923, 7.273 and 6.303 Å, with angles of 90.00, 103.52 and 90.00 degrees. The asymmetric unit holds Nd at (0.000, 0.129, 0.250), Nd at (0.168, 0.125, 0.028), Sm at (0.000, 0.377, 0.750) and Tm at (0.167, 0.376, 0.528).



Stability summary - winner: run ii; margin: 26.6 kJ/mol of atoms.